Record 1
The following is a DFT calculation (PBE) of crystalline IrSeBr at its relaxed geometry.

Cell lengths 5.5965, 6.6034, 7.0170 Å; angles 88.98, 90.00, 90.00 degrees
Fractional positions:
Ir 0.0309 0.2270 0.1469
Br 0.7413 0.4143 0.3873
Ir 0.5309 0.7730 0.3531
Se 0.7370 0.9539 0.0918
Ir 0.4691 0.2270 0.6469
Se 0.2630 0.0461 0.9082
Se 0.2370 0.0461 0.4082
Ir 0.9691 0.7730 0.8531
Se 0.7630 0.9539 0.5918
Br 0.7587 0.4143 0.8873
Br 0.2587 0.5857 0.6127
Br 0.2413 0.5857 0.1127

Computed properties:
Space group ... P2_1/c, No. 14
E_form (uncorrected) ... -0.08 eV/atom
Calculated total energy ... -14.3 eV/f.u.


Record 2
The following is a DFT calculation (PBE) of crystalline Ir2SeBr at its relaxed geometry.

Cell lengths 5.0840, 5.0840, 6.7131 Å; angles 88.47, 88.47, 33.77 degrees
Fractional positions:
Br 0.1838 0.1838 0.1920
Ir 0.0738 0.0738 0.8448
Se 0.4426 0.4426 0.6234
Ir 0.7998 0.7998 0.8398

Computed properties:
Space group ... Cm, No. 8
E_form (uncorrected) ... 0.38 eV/atom
Calculated total energy ... -21.3 eV/f.u.
ΔE to the lowest computed polymorph ... 0.137 eV per atom


Record 3
The following is a DFT calculation (PBE) of crystalline Ir3SeBr at its relaxed geometry.

Cell lengths 4.6714, 4.6714, 4.6714 Å; angles 90.00, 90.00, 90.00 degrees
Fractional positions:
Ir 0.5000 0.0000 0.0000
Br 0.5000 0.5000 0.5000
Ir 0.0000 0.0000 0.5000
Se 0.0000 0.0000 0.0000
Ir 0.0000 0.5000 0.0000

Computed properties:
Space group ... Pm-3m, No. 221
E_form (uncorrected) ... 1.55 eV/atom
Calculated total energy ... -24.0 eV/f.u.
ΔE to the lowest computed polymorph ... 0.000 eV per atom


Copy entry 1 word for word.
The following is a DFT calculation (PBE) of crystalline IrSeBr at its relaxed geometry.

Cell lengths 5.5965, 6.6034, 7.0170 Å; angles 88.98, 90.00, 90.00 degrees
Fractional positions:
Ir 0.0309 0.2270 0.1469
Br 0.7413 0.4143 0.3873
Ir 0.5309 0.7730 0.3531
Se 0.7370 0.9539 0.0918
Ir 0.4691 0.2270 0.6469
Se 0.2630 0.0461 0.9082
Se 0.2370 0.0461 0.4082
Ir 0.9691 0.7730 0.8531
Se 0.7630 0.9539 0.5918
Br 0.7587 0.4143 0.8873
Br 0.2587 0.5857 0.6127
Br 0.2413 0.5857 0.1127

Computed properties:
Space group ... P2_1/c, No. 14
E_form (uncorrected) ... -0.08 eV/atom
Calculated total energy ... -14.3 eV/f.u.


Repeat the third record exactly.
The following is a DFT calculation (PBE) of crystalline Ir3SeBr at its relaxed geometry.

Cell lengths 4.6714, 4.6714, 4.6714 Å; angles 90.00, 90.00, 90.00 degrees
Fractional positions:
Ir 0.5000 0.0000 0.0000
Br 0.5000 0.5000 0.5000
Ir 0.0000 0.0000 0.5000
Se 0.0000 0.0000 0.0000
Ir 0.0000 0.5000 0.0000

Computed properties:
Space group ... Pm-3m, No. 221
E_form (uncorrected) ... 1.55 eV/atom
Calculated total energy ... -24.0 eV/f.u.
ΔE to the lowest computed polymorph ... 0.000 eV per atom


Please write out number 3 again, unchanged.
The following is a DFT calculation (PBE) of crystalline Ir3SeBr at its relaxed geometry.

Cell lengths 4.6714, 4.6714, 4.6714 Å; angles 90.00, 90.00, 90.00 degrees
Fractional positions:
Ir 0.5000 0.0000 0.0000
Br 0.5000 0.5000 0.5000
Ir 0.0000 0.0000 0.5000
Se 0.0000 0.0000 0.0000
Ir 0.0000 0.5000 0.0000

Computed properties:
Space group ... Pm-3m, No. 221
E_form (uncorrected) ... 1.55 eV/atom
Calculated total energy ... -24.0 eV/f.u.
ΔE to the lowest computed polymorph ... 0.000 eV per atom